Compound: NdDyMgBe
Source: Alexandria
Functional: PBE
Structure: relaxed

As for the density of states at the Fermi level: 1.033 states/eV/atom. The raw total energy is -3.57 eV per atom. As for the formation energy: 0.10 eV/atom.

The space group is F-43m (No. 216) and the conventional cell measures 7.300, 7.300 and 7.300 Å, with angles of 90.00, 90.00 and 90.00 degrees. The inequivalent atoms are Nd at (0.000, 0.000, 0.000), Dy at (0.000, 0.000, 0.500), Mg at (0.250, 0.250, 0.250) and Be at (0.250, 0.250, 0.750).